PuZr2Sc5 | PBE-GGA | relaxed

a = 5.6185 Å, b = 5.6185 Å, c = 16.4133 Å
α = 90.00°, β = 90.00°, γ = 132.16°
With the nearest neighbours (Å) after each atom.
Element x y z (fractional)
Pu: 0.1388 0.8612 0.7500  5 Sc 2.83-3.08, 4 Zr 2.96
Pu: 0.8612 0.1388 0.2500  5 Sc 2.83-3.08, 4 Zr 2.96
Zr: 0.2588 0.7412 0.1545  2 Pu 2.96, 6 Sc 3.12-3.31, 1 Zr 3.14
Zr: 0.2588 0.7412 0.3455  2 Pu 2.96, 6 Sc 3.12-3.31, 1 Zr 3.14
Zr: 0.7412 0.2588 0.6545  2 Pu 2.96, 6 Sc 3.12-3.31, 1 Zr 3.14
Zr: 0.7412 0.2588 0.8455  2 Pu 2.96, 6 Sc 3.12-3.31, 1 Zr 3.14
Sc: 0.0417 0.9583 0.5884  1 Pu 2.83, 2 Sc 3.03-3.17
Sc: 0.0417 0.9583 0.9116  1 Pu 2.83, 2 Sc 3.03-3.17
Sc: 0.3403 0.6597 0.5405  3 Zr 3.12-3.31, 7 Sc 3.17-3.34
Sc: 0.3403 0.6597 0.9595  3 Zr 3.12-3.31, 7 Sc 3.17-3.34
Sc: 0.4369 0.5631 0.7500  3 Pu 3.06-3.08, 4 Zr 3.42
Sc: 0.5631 0.4369 0.2500  3 Pu 3.06-3.08, 4 Zr 3.42
Sc: 0.6597 0.3403 0.0405  3 Zr 3.12-3.31, 7 Sc 3.17-3.34
Sc: 0.6597 0.3403 0.4595  3 Zr 3.12-3.31, 7 Sc 3.17-3.34
Sc: 0.9583 0.0417 0.0884  1 Pu 2.83, 2 Sc 3.03-3.17
Sc: 0.9583 0.0417 0.4116  1 Pu 2.83, 2 Sc 3.03-3.17

Total energy, eV per cell: -124.38
Density, Mg/m³: 5.63
E above lowest polymorph, meV per atom: 0
ΔE_f, kJ/mol of formula units: 86



Al3H12Rh5 | PBE-GGA | relaxed

a = 9.4157 Å, b = 9.4157 Å, c = 9.4157 Å
α = 109.47°, β = 109.47°, γ = 109.47°
With the nearest neighbours (Å) after each atom.
Element x y z (fractional)
Al: 0.1250 0.2500 0.3750  8 H 2.06-2.08
Al: 0.1250 0.3750 0.7500  8 H 2.06-2.08
Al: 0.2500 0.3750 0.1250  8 H 2.06-2.08
Al: 0.2500 0.8750 0.6250  8 H 2.06-2.08
Al: 0.3750 0.1250 0.2500  8 H 2.06-2.08
Al: 0.3750 0.7500 0.1250  8 H 2.06-2.08
Al: 0.6250 0.2500 0.8750  8 H 2.06-2.08
Al: 0.6250 0.8750 0.7500  8 H 2.06-2.08
Al: 0.7500 0.1250 0.3750  8 H 2.06-2.08
Al: 0.7500 0.6250 0.8750  8 H 2.06-2.08
Al: 0.8750 0.6250 0.2500  8 H 2.06-2.08
Al: 0.8750 0.7500 0.6250  8 H 2.06-2.08
H: 0.0403 0.2121 0.1248  2 Rh 1.71-1.77
H: 0.0403 0.3282 0.9156  2 Rh 1.71-1.77
H: 0.0844 0.6248 0.4126  2 Rh 1.71-1.77
H: 0.0844 0.9597 0.6718  2 Rh 1.71-1.77
H: 0.0874 0.7121 0.6718  2 Rh 1.71-1.77
H: 0.0874 0.8752 0.4156  2 Rh 1.71-1.77
H: 0.1248 0.0403 0.2121  2 Rh 1.71-1.77
H: 0.1248 0.5844 0.9126  2 Rh 1.71-1.77
H: 0.1718 0.2121 0.5874  2 Rh 1.71-1.77
H: 0.1718 0.4597 0.5844  2 Rh 1.71-1.77
H: 0.2121 0.1248 0.0403  2 Rh 1.71-1.77
H: 0.2121 0.5874 0.1718  2 Rh 1.71-1.77
H: 0.2879 0.3282 0.9126  2 Rh 1.71-1.77
H: 0.2879 0.4597 0.3752  2 Rh 1.71-1.77
H: 0.3282 0.9126 0.2879  2 Rh 1.71-1.77
H: 0.3282 0.9156 0.0403  2 Rh 1.71-1.77
H: 0.3752 0.2879 0.4597  2 Rh 1.71-1.77
H: 0.3752 0.5874 0.9156  2 Rh 1.71-1.77
H: 0.4126 0.0844 0.6248  2 Rh 1.71-1.77
H: 0.4126 0.8282 0.7879  2 Rh 1.71-1.77
H: 0.4156 0.0874 0.8752  2 Rh 1.71-1.77
H: 0.4156 0.8282 0.5403  2 Rh 1.71-1.77
H: 0.4597 0.3752 0.2879  2 Rh 1.71-1.77
H: 0.4597 0.5844 0.1718  2 Rh 1.71-1.77
H: 0.5403 0.4156 0.8282  2 Rh 1.71-1.77
H: 0.5403 0.6248 0.7121  2 Rh 1.71-1.77
H: 0.5844 0.1718 0.4597  2 Rh 1.71-1.77
H: 0.5844 0.9126 0.1248  2 Rh 1.71-1.77
H: 0.5874 0.1718 0.2121  2 Rh 1.71-1.77
H: 0.5874 0.9156 0.3752  2 Rh 1.71-1.77
H: 0.6248 0.4126 0.0844  2 Rh 1.71-1.77
H: 0.6248 0.7121 0.5403  2 Rh 1.71-1.77
H: 0.6718 0.0844 0.9597  2 Rh 1.71-1.77
H: 0.6718 0.0874 0.7121  2 Rh 1.71-1.77
H: 0.7121 0.5403 0.6248  2 Rh 1.71-1.77
H: 0.7121 0.6718 0.0874  2 Rh 1.71-1.77
H: 0.7879 0.4126 0.8282  2 Rh 1.71-1.77
H: 0.7879 0.8752 0.9597  2 Rh 1.71-1.77
H: 0.8282 0.5403 0.4156  2 Rh 1.71-1.77
H: 0.8282 0.7879 0.4126  2 Rh 1.71-1.77
H: 0.8752 0.4156 0.0874  2 Rh 1.71-1.77
H: 0.8752 0.9597 0.7879  2 Rh 1.71-1.77
H: 0.9126 0.1248 0.5844  2 Rh 1.71-1.77
H: 0.9126 0.2879 0.3282  2 Rh 1.71-1.77
H: 0.9156 0.0403 0.3282  2 Rh 1.71-1.77
H: 0.9156 0.3752 0.5874  2 Rh 1.71-1.77
H: 0.9597 0.6718 0.0844  2 Rh 1.71-1.77
H: 0.9597 0.7879 0.8752  2 Rh 1.71-1.77
Rh: 0.0000 0.0000 0.0000  6 H 1.77
Rh: 0.0000 0.0000 0.5000  6 H 1.77
Rh: 0.0000 0.5000 0.0000  6 H 1.77
Rh: 0.0000 0.5000 0.5000  6 H 1.77
Rh: 0.1250 0.7500 0.8750  4 H 1.71
Rh: 0.1250 0.8750 0.2500  4 H 1.71
Rh: 0.2500 0.1250 0.8750  4 H 1.71
Rh: 0.2500 0.6250 0.3750  4 H 1.71
Rh: 0.3750 0.2500 0.6250  4 H 1.71
Rh: 0.3750 0.6250 0.7500  4 H 1.71
Rh: 0.5000 0.0000 0.0000  6 H 1.77
Rh: 0.5000 0.0000 0.5000  6 H 1.77
Rh: 0.5000 0.5000 0.0000  6 H 1.77
Rh: 0.5000 0.5000 0.5000  6 H 1.77
Rh: 0.6250 0.3750 0.2500  4 H 1.71
Rh: 0.6250 0.7500 0.3750  4 H 1.71
Rh: 0.7500 0.3750 0.6250  4 H 1.71
Rh: 0.7500 0.8750 0.1250  4 H 1.71
Rh: 0.8750 0.1250 0.7500  4 H 1.71
Rh: 0.8750 0.2500 0.1250  4 H 1.71

Total energy, eV per cell: -349.71
Density, Mg/m³: 6.28